An optimized crystal structure of HgPtBr2. Source: the Alexandria database, functional PBE.

```
HgPtBr2
1.0
4.243 0.000 0.000
0.000 3.631 0.000
-0.159 0.000 9.232
Hg Pt Br
1 1 2
direct
0.000 0.000 0.000
0.500 0.000 0.500
0.449 0.500 0.678
0.551 0.500 0.322
```

## Properties
Formation energy from raw total energies in eV/f.u.: -0.4
Polymorph energy (0 for the lowest one) in meV per atom: 5
Calculated total energy in eV for the cell shown: -10.1

---

An optimized crystal structure of HgPtBr. Source: the Alexandria database, functional PBE.

```
HgPtBr
1.0
0.000 3.303 6.701
1.633 0.000 6.701
1.633 3.303 0.000
Hg Pt Br
1 1 1
direct
0.000 0.000 0.000
0.339 0.339 0.661
0.690 0.690 0.310
```

## Properties
Formation energy from raw total energies in eV/f.u.: 0.9
Polymorph energy (0 for the lowest one) in meV per atom: 394
Calculated total energy in eV for the cell shown: -7.1

---

An optimized crystal structure of HgPtBr. Source: the Alexandria database, functional PBE.

```
HgPtBr
1.0
0.000 3.297 3.297
3.297 0.000 3.297
3.297 3.297 0.000
Hg Pt Br
1 1 1
direct
0.000 0.000 0.000
0.250 0.250 0.250
0.500 0.500 0.500
```

## Properties
Formation energy from raw total energies in eV/f.u.: 0.8
Polymorph energy (0 for the lowest one) in meV per atom: 379
Calculated total energy in eV for the cell shown: -7.2

---

An optimized crystal structure of HgPtBr2. Source: the Alexandria database, functional PBE.

```
HgPtBr2
1.0
-1.745 2.038 7.574
1.745 -2.038 7.574
1.745 2.038 -7.574
Hg Pt Br
1 1 2
direct
0.000 0.000 0.000
0.148 0.648 0.500
0.411 0.411 0.000
0.674 0.174 0.500
```

## Properties
Formation energy from raw total energies in eV/f.u.: 0.6
Polymorph energy (0 for the lowest one) in meV per atom: 268
Calculated total energy in eV for the cell shown: -9.1

---

An optimized crystal structure of HgPtBr2. Source: the Alexandria database, functional PBE.

```
HgPtBr2
1.0
0.000 3.547 3.547
3.547 0.000 3.547
3.547 3.547 0.000
Hg Pt Br
1 1 2
direct
0.000 0.000 0.000
0.750 0.750 0.750
0.250 0.250 0.250
0.500 0.500 0.500
```

## Properties
Formation energy from raw total energies in eV/f.u.: 2.4
Polymorph energy (0 for the lowest one) in meV per atom: 712
Calculated total energy in eV for the cell shown: -7.3

---

An optimized crystal structure of HgPtBr2. Source: the Alexandria database, functional PBE.

```
HgPtBr2
1.0
1.962 1.133 9.462
-1.962 1.133 9.462
0.000 -2.266 9.462
Hg Pt Br
1 1 2
direct
0.000 0.000 0.000
0.500 0.500 0.500
0.217 0.217 0.217
0.783 0.783 0.783
```

## Properties
Formation energy from raw total energies in eV/f.u.: 0.3
Polymorph energy (0 for the lowest one) in meV per atom: 186
Calculated total energy in eV for the cell shown: -9.4

---

An optimized crystal structure of HgPtBr2. Source: the Alexandria database, functional PBE.

```
HgPtBr2
1.0
4.280 0.000 0.000
0.000 3.601 0.000
-0.077 0.000 8.099
Hg Pt Br
1 1 2
direct
0.000 0.000 0.000
0.215 0.500 0.785
0.372 0.000 0.603
0.771 0.500 0.218
```

## Properties
Formation energy from raw total energies in eV/f.u.: -0.2
Polymorph energy (0 for the lowest one) in meV per atom: 61
Calculated total energy in eV for the cell shown: -9.9

---

An optimized crystal structure of HgPtBr. Source: the Alexandria database, functional PBE.

```
HgPtBr
1.0
11.508 0.000 0.000
0.000 1.874 4.059
0.000 -1.874 4.059
Hg Pt Br
2 2 2
direct
0.000 0.000 0.000
0.500 0.142 0.142
0.115 0.301 0.301
0.885 0.301 0.301
0.258 0.743 0.743
0.742 0.743 0.743
```

## Properties
Formation energy from raw total energies in eV/f.u.: 0.3
Polymorph energy (0 for the lowest one) in meV per atom: 208
Calculated total energy in eV for the cell shown: -15.4